1.
An optimized crystal structure of Nd2Ho7Tm3. Source: Alexandria via LeMat-Bulk, functional GGA-PBE.

Calculated values
DFT formation energy   91 kJ/mol of formula units
Total energy   -4.50 eV/atom
Distance to the lowest polymorph of the same formula   0.0 meV per atom
SG   P2/m, No. 10

Cell lengths 3.498, 6.301, 17.795 Å; angles 75.61, 90.00, 90.00 degrees
Fractional coordinates of all 12 atoms:
Tm 0.500 0.500 0.000
Nd 0.500 0.387 0.673
Tm 0.000 0.891 0.657
Tm 0.000 0.109 0.343
Ho 0.500 0.062 0.167
Ho 0.500 0.938 0.833
Ho 0.500 0.758 0.499
Ho 0.000 0.438 0.837
Ho 0.000 0.000 0.000
Ho 0.500 0.242 0.501
Ho 0.000 0.562 0.163
Nd 0.500 0.613 0.327

=====

2.
An optimized crystal structure of Rb4BaPu3O12. Source: Alexandria via LeMat-Bulk, functional GGA-PBE.

Calculated values
E_form (uncorrected)   -2.43 eV per atom
Total energy   -7.84 eV/atom
SG   Im-3m, No. 229

Cell lengths 7.709, 7.709, 7.709 Å; angles 109.47, 109.47, 109.47 degrees
Site moments in Bohr magnetons follow the coordinates.
Fractional coordinates of all 20 atoms:
O 0.750 0.250 0.500  -0.13
O 0.000 0.713 0.713  -0.10
Pu 0.000 0.500 0.500  2.48
O 0.500 0.750 0.250  -0.13
O 0.250 0.750 0.500  -0.13
Rb 0.500 0.000 0.000  0.00
Rb 0.500 0.500 0.500  0.00
O 0.000 0.287 0.287  -0.10
Rb 0.000 0.500 0.000  0.00
O 0.713 0.000 0.713  -0.10
Rb 0.000 0.000 0.500  0.00
O 0.750 0.500 0.250  -0.13
Pu 0.500 0.000 0.500  2.48
O 0.500 0.250 0.750  -0.13
O 0.713 0.713 0.000  -0.10
O 0.287 0.287 0.000  -0.10
O 0.250 0.500 0.750  -0.13
Pu 0.500 0.500 0.000  2.48
Ba 0.000 0.000 0.000  -0.02
O 0.287 0.000 0.287  -0.10

=====

3.
An optimized crystal structure of Zr2TcTe. Source: Alexandria via LeMat-Bulk, functional GGA-PBE.

Calculated values
E_form (uncorrected)   -0.39 eV per atom
Total energy   -8.04 eV/atom
SG   P4/mmm, No. 123

Cell lengths 3.488, 3.488, 6.749 Å; angles 90.00, 90.00, 90.00 degrees
Fractional coordinates of all 4 atoms:
Zr 0.000 0.000 0.023
Tc 0.500 0.500 0.250
Zr 0.000 0.000 0.477
Te 0.500 0.500 0.750

=====

4.
An optimized crystal structure of CeTaV4. Source: Alexandria via LeMat-Bulk, functional GGA-PBE.

Calculated values
DFT formation energy   105 kJ/mol of formula units
Total energy   -8.86 eV/atom
SG   F-43m, No. 216

Cell lengths 5.173, 5.173, 5.173 Å; angles 60.00, 60.00, 60.00 degrees
Fractional coordinates of all 6 atoms:
V 0.625 0.125 0.625
V 0.125 0.625 0.625
V 0.625 0.625 0.625
Ta 0.000 0.000 0.000
V 0.625 0.625 0.125
Ce 0.250 0.250 0.250

=====

5.
An optimized crystal structure of TbPu2Sn. Source: Alexandria via LeMat-Bulk, functional GGA-PBE.

Calculated values
DFT formation energy   -118 kJ/mol of formula units
Total energy   -9.63 eV/atom
Distance to the lowest polymorph of the same formula   0.0 meV per atom
SG   P4/mmm, No. 123

Cell lengths 5.120, 4.567, 4.567 Å; angles 90.00, 90.00, 90.00 degrees
Site moments in Bohr magnetons follow the coordinates.
Fractional coordinates of all 4 atoms:
Sn 0.500 0.000 0.000  -0.10
Pu 0.000 0.000 0.500  5.67
Tb 0.500 0.500 0.500  0.32
Pu 0.000 0.500 0.000  5.67

=====

6.
An optimized crystal structure of ZrZnFe2. Source: Alexandria via LeMat-Bulk, functional GGA-PBE.

Calculated values
DFT formation energy   -12 kJ/mol of formula units
Total energy   -6.72 eV/atom
SG   Imm2, No. 44

Cell lengths 5.053, 5.053, 4.174 Å; angles 65.60, 65.60, 37.65 degrees
Site moments in Bohr magnetons follow the coordinates.
Fractional coordinates of all 4 atoms:
Fe 0.021 0.021 0.979  2.10
Zr 0.259 0.259 0.241  -0.43
Fe 0.735 0.735 0.765  1.61
Zn 0.485 0.485 0.515  -0.07

=====

7.
An optimized crystal structure of CaCdP. Source: Alexandria via LeMat-Bulk, functional GGA-PBE.

Calculated values
DFT formation energy   -128 kJ/mol of formula units
Total energy   -3.22 eV/atom
Distance to the lowest polymorph of the same formula   146.7 meV per atom
SG   F-43m, No. 216

Cell lengths 4.757, 4.757, 4.757 Å; angles 60.00, 60.00, 60.00 degrees
Fractional coordinates of all 3 atoms:
P 0.750 0.750 0.750
Ca 0.000 0.000 0.000
Cd 0.500 0.500 0.500

=====

8.
An optimized crystal structure of LiVMo3. Source: Alexandria via LeMat-Bulk, functional GGA-PBE.

Calculated values
DFT formation energy   628 kJ/mol of formula units
Total energy   -7.40 eV/atom
Distance to the lowest polymorph of the same formula   0.0 meV per atom
SG   Pm-3m, No. 221

Cell lengths 4.549, 4.549, 4.549 Å; angles 90.00, 90.00, 90.00 degrees
Fractional coordinates of all 5 atoms:
V 0.000 0.000 0.000
Li 0.500 0.500 0.500
Mo 0.500 0.000 0.000
Mo 0.000 0.500 0.000
Mo 0.000 0.000 0.500

=====

9.
An optimized crystal structure of LaCeGa2Rh2. Source: Alexandria via LeMat-Bulk, functional GGA-PBE.

Calculated values
DFT formation energy   -454 kJ/mol of formula units
Total energy   -6.05 eV/atom
SG   P-3m1, No. 164

Cell lengths 4.460, 4.460, 7.371 Å; angles 90.00, 90.00, 120.00 degrees
Fractional coordinates of all 6 atoms:
Rh 0.333 0.667 0.715
La 0.000 0.000 0.000
Ga 0.333 0.667 0.266
Ga 0.667 0.333 0.734
Rh 0.667 0.333 0.285
Ce 0.000 0.000 0.500

=====

10.
An optimized crystal structure of Sm8Y2Mg. Source: Alexandria via LeMat-Bulk, functional GGA-PBE.

Calculated values
DFT formation energy   110 kJ/mol of formula units
Total energy   -4.65 eV/atom
Distance to the lowest polymorph of the same formula   0.0 meV per atom
SG   Immm, No. 71

Cell lengths 5.596, 7.737, 9.760 Å; angles 113.35, 106.66, 90.00 degrees
Fractional coordinates of all 11 atoms:
Sm 0.634 0.853 0.268
Mg 0.500 0.000 0.000
Sm 0.000 0.732 0.000
Sm 0.366 0.585 0.732
Sm 0.634 0.415 0.268
Y 0.195 0.695 0.390
Sm 0.000 0.268 0.000
Sm 0.824 0.824 0.648
Sm 0.176 0.176 0.352
Sm 0.366 0.147 0.732
Y 0.805 0.305 0.610

=====

11.
An optimized crystal structure of Mn2AsC. Source: Alexandria via LeMat-Bulk, functional GGA-PBE.

Calculated values
DFT formation energy   303 kJ/mol of formula units
Total energy   -7.27 eV/atom
SG   Fm-3m, No. 225

Cell lengths 3.891, 3.891, 3.891 Å; angles 60.00, 60.00, 60.00 degrees
Site moments in Bohr magnetons follow the coordinates.
Fractional coordinates of all 4 atoms:
Mn 0.750 0.750 0.750  0.52
C 0.000 0.000 0.000  -0.09
Mn 0.250 0.250 0.250  0.52
As 0.500 0.500 0.500  -0.06

=====

12.
An optimized crystal structure of TiHIr3. Source: Alexandria via LeMat-Bulk, functional GGA-PBE.

Calculated values
Total energy   -8.09 eV/atom
Distance to the lowest polymorph of the same formula   0.0 meV per atom
SG   Immm, No. 71

Cell lengths 5.536, 5.531, 5.562 Å; angles 119.79, 119.81, 90.02 degrees
Fractional coordinates of all 10 atoms:
H 0.886 0.193 0.221
H 0.886 0.693 0.220
Ir 0.630 0.443 0.220
Ti 0.148 0.956 0.746
Ir 0.141 0.443 0.220
Ir 0.633 0.940 0.714
Ir 0.141 0.942 0.221
Ir 0.630 0.942 0.220
Ti 0.623 0.430 0.695
Ir 0.139 0.446 0.727